[1]
# PBE-GGA PuReIr, optimized geometry
# Density (g/cm3): 17.72
# Energy of formation from the pure elements (meV/atom): -97
# DOS at the Fermi energy (states/eV/cell): 32.499
# Crystal system: monoclinic
data_PuReIr
_cell_length_a 10.0644
_cell_length_b 4.3672
_cell_length_c 7.2711
_cell_angle_alpha 90.00
_cell_angle_beta 133.13
_cell_angle_gamma 90.00
_symmetry_space_group_name_H-M 'C 1 2/m 1'
_symmetry_Int_Tables_number 12
_symmetry_space_group_name_Hall '-C 2y'
loop_
_atom_site_label
_atom_site_type_symbol
_atom_site_fract_x
_atom_site_fract_y
_atom_site_fract_z
_atom_site_occupancy
Pu1 Pu 0.0672 0.0000 0.3232 1
Re1 Re 0.1468 0.5000 0.0598 1
Ir1 Ir 0.1697 0.5000 0.7226 1

[2]
# PBE-GGA GaNiMoPt, optimized geometry
# Density (g/cm3): 12.36
# Energy of formation from the pure elements (meV/atom): -174
# DOS at the Fermi energy (states/eV/cell): 15.101
# Crystal system: cubic
data_GaNiMoPt
_cell_length_a 6.0865
_cell_length_b 6.0865
_cell_length_c 6.0865
_cell_angle_alpha 90.00
_cell_angle_beta 90.00
_cell_angle_gamma 90.00
_symmetry_space_group_name_H-M 'F -4 3 m'
_symmetry_Int_Tables_number 216
_symmetry_space_group_name_Hall 'F -4 2 3'
loop_
_atom_site_label
_atom_site_type_symbol
_atom_site_fract_x
_atom_site_fract_y
_atom_site_fract_z
_atom_site_occupancy
Ga1 Ga 0.0000 0.0000 0.0000 1
Ni1 Ni 0.0000 0.0000 0.5000 1
Mo1 Mo 0.2500 0.2500 0.7500 1
Pt1 Pt 0.2500 0.2500 0.2500 1

[3]
# PBE-GGA Gd3ReO8, optimized geometry
# Density (g/cm3): 8.46
# Formation energy from raw total energies (meV per atom): -2802
# Crystal system: monoclinic
data_Gd3ReO8
_cell_length_a 7.3684
_cell_length_b 6.1091
_cell_length_c 14.7282
_cell_angle_alpha 90.00
_cell_angle_beta 111.37
_cell_angle_gamma 90.00
_symmetry_space_group_name_H-M 'P 1 21/c 1'
_symmetry_Int_Tables_number 14
_symmetry_space_group_name_Hall '-P 2ybc'
loop_
_atom_site_label
_atom_site_type_symbol
_atom_site_fract_x
_atom_site_fract_y
_atom_site_fract_z
_atom_site_occupancy
Gd1 Gd 0.0954 0.2400 0.2014 1
Gd2 Gd 0.1601 0.1999 0.4453 1
Gd3 Gd 0.3929 0.6896 0.3325 1
Re1 Re 0.3214 0.7455 0.0902 1
O1 O 0.0875 0.6957 0.9810 1
O2 O 0.1474 0.0296 0.8412 1
O3 O 0.1686 0.6479 0.1695 1
O4 O 0.1855 0.5295 0.8269 1
O5 O 0.2490 0.0426 0.0963 1
O6 O 0.3787 0.0527 0.5886 1
O7 O 0.4685 0.2063 0.7878 1
O8 O 0.4743 0.6971 0.5200 1

[4]
# PBE-GGA Co, optimized geometry
# Density (g/cm3): 5.37
# Energy of formation from the pure elements (meV/atom): 933
# DOS at the Fermi energy (states/eV/cell): 16.559
# Crystal system: hexagonal
data_Co
_cell_length_a 10.3671
_cell_length_b 10.3671
_cell_length_c 2.3507
_cell_angle_alpha 90.00
_cell_angle_beta 90.00
_cell_angle_gamma 120.00
_symmetry_space_group_name_H-M 'P 63/m m c'
_symmetry_Int_Tables_number 194
_symmetry_space_group_name_Hall '-P 6c 2c'
loop_
_atom_site_label
_atom_site_type_symbol
_atom_site_fract_x
_atom_site_fract_y
_atom_site_fract_z
_atom_site_occupancy
Co1 Co 0.1164 0.4493 0.2500 1

[5]
# PBE-GGA Zn2CoRhAu, optimized geometry
# Density (g/cm3): 7.82
# Energy of formation from the pure elements (meV/atom): 1020
# DOS at the Fermi energy (states/eV/cell): 7.944
# Crystal system: tetragonal
data_Zn2CoRhAu
_cell_length_a 4.7007
_cell_length_b 4.7007
_cell_length_c 4.7024
_cell_angle_alpha 90.00
_cell_angle_beta 90.00
_cell_angle_gamma 90.00
_symmetry_space_group_name_H-M 'P 4/m m m'
_symmetry_Int_Tables_number 123
_symmetry_space_group_name_Hall '-P 4 2'
loop_
_atom_site_label
_atom_site_type_symbol
_atom_site_fract_x
_atom_site_fract_y
_atom_site_fract_z
_atom_site_occupancy
Zn1 Zn 0.0000 0.5000 0.0000 1
Co1 Co 0.0000 0.0000 0.5000 1
Rh1 Rh 0.5000 0.5000 0.5000 1
Au1 Au 0.0000 0.0000 0.0000 1

[6]
# PBE-GGA YTaZn2Rh, optimized geometry
# Density (g/cm3): 6.62
# Energy of formation from the pure elements (meV/atom): 1299
# DOS at the Fermi energy (states/eV/cell): 7.066
# Crystal system: tetragonal
data_YTaZn2Rh
_cell_length_a 4.9086
_cell_length_b 4.9086
_cell_length_c 5.2396
_cell_angle_alpha 90.00
_cell_angle_beta 90.00
_cell_angle_gamma 90.00
_symmetry_space_group_name_H-M 'P 4/m m m'
_symmetry_Int_Tables_number 123
_symmetry_space_group_name_Hall '-P 4 2'
loop_
_atom_site_label
_atom_site_type_symbol
_atom_site_fract_x
_atom_site_fract_y
_atom_site_fract_z
_atom_site_occupancy
Y1 Y 0.0000 0.0000 0.0000 1
Ta1 Ta 0.0000 0.0000 0.5000 1
Zn1 Zn 0.0000 0.5000 0.5000 1
Rh1 Rh 0.5000 0.5000 0.0000 1

[7]
# PBE-GGA Cs2SiAg2, optimized geometry
# Density (g/cm3): 4.18
# Formation energy from raw total energies (meV per atom): 285
# DOS at the Fermi energy (states/eV/cell): 5.106
# Crystal system: tetragonal
data_Cs2SiAg2
_cell_length_a 7.2274
_cell_length_b 7.2274
_cell_length_c 7.7453
_cell_angle_alpha 90.00
_cell_angle_beta 90.00
_cell_angle_gamma 90.00
_symmetry_space_group_name_H-M 'I 4/m m m'
_symmetry_Int_Tables_number 139
_symmetry_space_group_name_Hall '-I 4 2'
loop_
_atom_site_label
_atom_site_type_symbol
_atom_site_fract_x
_atom_site_fract_y
_atom_site_fract_z
_atom_site_occupancy
Cs1 Cs 0.0000 0.5000 0.2500 1
Si1 Si 0.0000 0.0000 0.0000 1
Ag1 Ag 0.0000 0.0000 0.3229 1

[8]
# PBE-GGA SbPdPb3, optimized geometry
# Density (g/cm3): 9.10
# Formation energy from raw total energies (meV per atom): 76
# DOS at the Fermi energy (states/eV/cell): 1.998
# Crystal system: cubic
data_SbPdPb3
_cell_length_a 5.3729
_cell_length_b 5.3729
_cell_length_c 5.3729
_cell_angle_alpha 90.00
_cell_angle_beta 90.00
_cell_angle_gamma 90.00
_symmetry_space_group_name_H-M 'P m -3 m'
_symmetry_Int_Tables_number 221
_symmetry_space_group_name_Hall '-P 4 2 3'
loop_
_atom_site_label
_atom_site_type_symbol
_atom_site_fract_x
_atom_site_fract_y
_atom_site_fract_z
_atom_site_occupancy
Sb1 Sb 0.0000 0.0000 0.0000 1
Pd1 Pd 0.5000 0.5000 0.5000 1
Pb1 Pb 0.0000 0.5000 0.5000 1

Q: What is the formula in the fifth record?
A: Zn2CoRhAu

Q: The lowest density belongs to which entry?
A: Cs2SiAg2

Q: What is the formula in the fifth record?
A: Zn2CoRhAu

Q: Look up the density of the third one.
A: 8.46 g/cm3